#one
VASP calculation (PBE-GGA) on a relaxed RbBrNF2 crystal.

Unit cell a=4.932 b=4.932 c=3.745 alpha=90.00 beta=90.00 gamma=90.00
Fractional positions:
Br1 0.000 0.000 0.000
F1 0.000 0.500 0.000
F2 0.500 0.000 0.000
Rb1 0.500 0.500 0.500
N1 0.000 0.000 0.500

***

#two
VASP calculation (PBE-GGA) on a relaxed RbBrNF2 crystal.

Unit cell a=5.191 b=5.191 c=5.878 alpha=90.00 beta=90.00 gamma=90.00
Fractional positions:
Br1 0.500 0.500 0.500
Rb1 0.000 0.000 0.000
F1 0.000 0.500 0.000
F2 0.500 0.000 0.000
N1 0.000 0.000 0.500

***

It is #one that is most stable; the runner-up trails by 784 meV per atom.

***

#one
VASP calculation (PBE-GGA) on a relaxed ReBrNF2 crystal.

Unit cell a=4.338 b=4.338 c=4.392 alpha=90.00 beta=90.00 gamma=90.00
Fractional positions:
Re1 0.500 0.500 0.500
F1 0.500 0.000 0.000
F2 0.000 0.500 0.000
Br1 0.000 0.000 0.000
N1 0.000 0.000 0.500

***

#two
VASP calculation (PBE-GGA) on a relaxed ReBrNF2 crystal.

Unit cell a=4.177 b=4.177 c=3.879 alpha=90.00 beta=90.00 gamma=90.00
Fractional positions:
Br1 0.500 0.500 0.500
N1 0.000 0.000 0.500
F1 0.000 0.500 0.000
F2 0.500 0.000 0.000
Re1 0.000 0.000 0.000

***

It is #two that is most stable; the runner-up trails by 1861 meV per atom.

***

#one
VASP calculation (PBE-GGA) on a relaxed RuBrNF2 crystal.

Unit cell a=4.793 b=4.793 c=3.672 alpha=90.00 beta=90.00 gamma=90.00
Fractional positions:
Br1 0.000 0.000 0.000
F1 0.000 0.500 0.000
F2 0.500 0.000 0.000
Ru1 0.500 0.500 0.500
N1 0.000 0.000 0.500

***

#two
VASP calculation (PBE-GGA) on a relaxed RuBrNF2 crystal.

Unit cell a=4.196 b=4.196 c=3.820 alpha=90.00 beta=90.00 gamma=90.00
Fractional positions:
F1 0.000 0.500 0.000
F2 0.500 0.000 0.000
Br1 0.500 0.500 0.500
Ru1 0.000 0.000 0.000
N1 0.000 0.000 0.500

***

It is #two that is most stable; the runner-up trails by 1252 meV per atom.

***

#one
VASP calculation (PBE-GGA) on a relaxed ScBrN2F crystal.

Unit cell a=4.495 b=4.495 c=4.004 alpha=90.00 beta=90.00 gamma=90.00
Fractional positions:
N1 0.500 0.000 0.000
N2 0.000 0.500 0.000
Br1 0.500 0.500 0.500
F1 0.000 0.000 0.500
Sc1 0.000 0.000 0.000

***

#two
VASP calculation (PBE-GGA) on a relaxed ScBrN2F crystal.

Unit cell a=4.068 b=4.068 c=4.131 alpha=90.00 beta=90.00 gamma=90.00
Fractional positions:
Sc1 0.500 0.500 0.500
Br1 0.000 0.000 0.000
F1 0.000 0.000 0.500
N1 0.000 0.500 0.000
N2 0.500 0.000 0.000

***

It is #one that is most stable; the runner-up trails by 818 meV per atom.

***

#one
VASP calculation (PBE-GGA) on a relaxed ScBrNF2 crystal.

Unit cell a=4.820 b=4.820 c=3.714 alpha=90.00 beta=90.00 gamma=90.00
Fractional positions:
F1 0.500 0.000 0.000
F2 0.000 0.500 0.000
Sc1 0.500 0.500 0.500
Br1 0.000 0.000 0.000
N1 0.000 0.000 0.500

***

#two
VASP calculation (PBE-GGA) on a relaxed ScBrNF2 crystal.

Unit cell a=3.980 b=3.980 c=4.832 alpha=90.00 beta=90.00 gamma=90.00
Fractional positions:
Sc1 0.000 0.000 0.000
Br1 0.500 0.500 0.500
N1 0.000 0.000 0.500
F1 0.000 0.500 0.000
F2 0.500 0.000 0.000

***

It is #two that is most stable; the runner-up trails by 1537 meV per atom.

***

#one
VASP calculation (PBE-GGA) on a relaxed SeBr2NF crystal.

Unit cell a=5.956 b=5.956 c=3.858 alpha=90.00 beta=90.00 gamma=90.00
Fractional positions:
F1 0.000 0.000 0.000
N1 0.500 0.500 0.500
Br1 0.000 0.500 0.000
Br2 0.500 0.000 0.000
Se1 0.000 0.000 0.500

***

#two
VASP calculation (PBE-GGA) on a relaxed SeBr2NF crystal.

Unit cell a=4.596 b=4.596 c=4.337 alpha=90.00 beta=90.00 gamma=90.00
Fractional positions:
N1 0.000 0.000 0.000
F1 0.500 0.500 0.500
Br1 0.000 0.500 0.000
Br2 0.500 0.000 0.000
Se1 0.000 0.000 0.500

***

It is #two that is most stable; the runner-up trails by 338 meV per atom.

***

#one
VASP calculation (PBE-GGA) on a relaxed Se2BrNF crystal.

Unit cell a=4.304 b=4.304 c=6.925 alpha=90.00 beta=90.00 gamma=90.00
Fractional positions:
F1 0.000 0.000 0.000
Se1 0.500 0.000 0.000
Se2 0.000 0.500 0.000
Br1 0.000 0.000 0.500
N1 0.500 0.500 0.500

***

#two
VASP calculation (PBE-GGA) on a relaxed Se2BrNF crystal.

Unit cell a=4.268 b=4.268 c=4.822 alpha=90.00 beta=90.00 gamma=90.00
Fractional positions:
Se1 0.000 0.500 0.000
Se2 0.500 0.000 0.000
F1 0.500 0.500 0.500
Br1 0.000 0.000 0.500
N1 0.000 0.000 0.000

***

#three
VASP calculation (PBE-GGA) on a relaxed Se2BrNF crystal.

Unit cell a=4.514 b=4.514 c=5.118 alpha=90.00 beta=90.00 gamma=90.00
Fractional positions:
Br1 0.500 0.500 0.500
F1 0.000 0.000 0.000
Se1 0.500 0.000 0.000
Se2 0.000 0.500 0.000
N1 0.000 0.000 0.500

***

#four
VASP calculation (PBE-GGA) on a relaxed Se2BrNF crystal.

Unit cell a=5.443 b=5.443 c=3.781 alpha=90.00 beta=90.00 gamma=90.00
Fractional positions:
Br1 0.000 0.000 0.000
F1 0.500 0.500 0.500
N1 0.000 0.000 0.500
Se1 0.500 0.000 0.000
Se2 0.000 0.500 0.000

***

It is #two that is most stable; the runner-up trails by 478 meV per atom.

***

#one
VASP calculation (PBE-GGA) on a relaxed SiBrNF2 crystal.

Unit cell a=4.870 b=4.870 c=3.632 alpha=90.00 beta=90.00 gamma=90.00
Fractional positions:
N1 0.000 0.000 0.500
Br1 0.000 0.000 0.000
Si1 0.500 0.500 0.500
F1 0.500 0.000 0.000
F2 0.000 0.500 0.000

***

#two
VASP calculation (PBE-GGA) on a relaxed SiBrNF2 crystal.

Unit cell a=3.812 b=3.812 c=3.789 alpha=90.00 beta=90.00 gamma=90.00
Fractional positions:
Si1 0.000 0.000 0.000
F1 0.500 0.000 0.000
F2 0.000 0.500 0.000
N1 0.000 0.000 0.500
Br1 0.500 0.500 0.500

***

It is #two that is most stable; the runner-up trails by 1317 meV per atom.